No. 1
This record from Alexandria via LeMat-Bulk describes a PBEsol-optimized structure of Sm5Mg. The functional is SCAN.

As for the symmetry: No. 38. The formation energy comes out at 0.007 eV/atom.

Cell: 5.665 9.118 9.118 Å, 22.80 90.00 90.00°
Sites, in units of the cell vectors:
Sm1 0.000 0.000 0.000
Sm2 0.000 0.327 0.327
Sm3 0.500 0.206 0.206
Sm4 0.500 0.546 0.546
Sm5 0.500 0.874 0.874
Mg1 0.000 0.662 0.662


No. 2
This record from Alexandria via LeMat-Bulk describes a PBEsol-optimized structure of KAlP4H4O14. The functional is SCAN.

As for the symmetry: No. 2. Its total energy is -212.77 eV/f.u.

Cell: 4.924 7.506 7.748 Å, 81.18 83.18 73.48°
Sites, in units of the cell vectors:
K1 0.000 0.000 0.000
Al1 0.000 0.500 0.000
P1 0.317 0.233 0.318
P2 0.413 0.604 0.227
P3 0.587 0.396 0.773
P4 0.683 0.767 0.682
H1 0.107 0.782 0.417
H2 0.309 0.009 0.613
H3 0.691 0.991 0.387
H4 0.893 0.218 0.583
O1 0.159 0.278 0.154
O2 0.167 0.160 0.484
O3 0.236 0.628 0.073
O4 0.277 0.411 0.821
O5 0.295 0.770 0.336
O6 0.375 0.423 0.357
O7 0.388 0.907 0.718
O8 0.612 0.093 0.282
O9 0.625 0.577 0.643
O10 0.705 0.230 0.664
O11 0.723 0.589 0.179
O12 0.764 0.372 0.927
O13 0.833 0.840 0.516
O14 0.841 0.722 0.846


| no. | calculated volume (Å³/cell) | total moment (μB/cell) |
| --- | --- | --- |
| 1 | 182 | 0.000 |
| 2 | 270 | 0.000 |